Entry 1:
# PWNO2 (GGA-PBEsol, relaxed)
data_PWNO2
_chemical_formula_sum 'P1 W1 N1 O2'
_symmetry_space_group_name_H-M 'P 4/m m m'
_symmetry_Int_Tables_number 123
_symmetry_space_group_name_Hall '-P 4 2'
_cell_length_a 3.7085
_cell_length_b 3.7085
_cell_length_c 5.0510
_cell_angle_alpha 90.00
_cell_angle_beta 90.00
_cell_angle_gamma 90.00
loop_
_atom_site_label
_atom_site_fract_x
_atom_site_fract_y
_atom_site_fract_z
P1 0.0000 0.0000 0.0000
W1 0.0000 0.0000 0.5000
N1 0.5000 0.5000 0.0000
O1 0.0000 0.5000 0.5000
# Fermi-level density of states   1.61 states/eV/f.u.
# Formation energy from raw total energies   -91 meV/atom
# Energy   -7.816 eV per atom

***

Entry 2:
# SbPbN2O (GGA-PBEsol, relaxed)
data_SbPbN2O
_chemical_formula_sum 'Sb1 Pb1 N2 O1'
_symmetry_space_group_name_H-M 'P 4/m m m'
_symmetry_Int_Tables_number 123
_symmetry_space_group_name_Hall '-P 4 2'
_cell_length_a 4.2242
_cell_length_b 4.2242
_cell_length_c 4.1610
_cell_angle_alpha 90.00
_cell_angle_beta 90.00
_cell_angle_gamma 90.00
loop_
_atom_site_label
_atom_site_fract_x
_atom_site_fract_y
_atom_site_fract_z
Sb1 0.0000 0.0000 0.0000
Pb1 0.5000 0.5000 0.5000
N1 0.0000 0.5000 0.5000
O1 0.5000 0.5000 0.0000
# Fermi-level density of states   2.90 states/eV/f.u.
# Formation energy from raw total energies   1102 meV/atom
# Energy   -5.069 eV per atom

***

Entry 3:
# TePbN2O (GGA-PBEsol, relaxed)
data_TePbN2O
_chemical_formula_sum 'Te1 Pb1 N2 O1'
_symmetry_space_group_name_H-M 'P 4/m m m'
_symmetry_Int_Tables_number 123
_symmetry_space_group_name_Hall '-P 4 2'
_cell_length_a 4.0855
_cell_length_b 4.0855
_cell_length_c 6.4339
_cell_angle_alpha 90.00
_cell_angle_beta 90.00
_cell_angle_gamma 90.00
loop_
_atom_site_label
_atom_site_fract_x
_atom_site_fract_y
_atom_site_fract_z
Te1 0.0000 0.0000 0.0000
Pb1 0.0000 0.0000 0.5000
N1 0.0000 0.5000 0.5000
O1 0.5000 0.5000 0.0000
# Fermi-level density of states   2.83 states/eV/f.u.
# Formation energy from raw total energies   2023 meV/atom
# Energy   -3.942 eV per atom